[1]
{"formula": "Pu4Pd2RhAu", "functional": "GGA-PBE", "state": "optimized geometry", "cell": [[2.506, 1.447, 8.070], [-2.506, 1.447, 8.070], [0.000, -2.893, 8.070]], "species": ["Pu", "Pu", "Pu", "Pu", "Pd", "Pd", "Rh", "Au"], "fractional_positions": [[0.118, 0.118, 0.118], [0.369, 0.369, 0.369], [0.631, 0.631, 0.631], [0.882, 0.882, 0.882], [0.246, 0.246, 0.246], [0.754, 0.754, 0.754], [0.000, 0.000, 0.000], [0.500, 0.500, 0.500]], "ef_ev_per_atom": -0.405, "spacegroup": "No. 166"}



[2]
{"formula": "Pu4Pd2RuAu", "functional": "GGA-PBE", "state": "optimized geometry", "cell": [[2.490, 1.438, 8.060], [-2.490, 1.438, 8.060], [0.000, -2.876, 8.060]], "species": ["Pu", "Pu", "Pu", "Pu", "Pd", "Pd", "Ru", "Au"], "fractional_positions": [[0.118, 0.118, 0.118], [0.369, 0.369, 0.369], [0.631, 0.631, 0.631], [0.882, 0.882, 0.882], [0.246, 0.246, 0.246], [0.754, 0.754, 0.754], [0.000, 0.000, 0.000], [0.500, 0.500, 0.500]], "ef_ev_per_atom": -0.323, "spacegroup": "No. 166"}



[3]
{"formula": "PuScPdAu", "functional": "GGA-PBE", "state": "optimized geometry", "cell": [[6.978, 0.000, 0.000], [0.000, 6.978, 0.000], [0.000, 0.000, 6.978]], "species": ["Pu", "Pu", "Pu", "Pu", "Sc", "Sc", "Sc", "Sc", "Pd", "Pd", "Pd", "Pd", "Au", "Au", "Au", "Au"], "fractional_positions": [[0.000, 0.000, 0.000], [0.000, 0.500, 0.500], [0.500, 0.000, 0.500], [0.500, 0.500, 0.000], [0.000, 0.000, 0.500], [0.000, 0.500, 0.000], [0.500, 0.000, 0.000], [0.500, 0.500, 0.500], [0.250, 0.250, 0.750], [0.250, 0.750, 0.250], [0.750, 0.250, 0.250], [0.750, 0.750, 0.750], [0.250, 0.250, 0.250], [0.250, 0.750, 0.750], [0.750, 0.250, 0.750], [0.750, 0.750, 0.250]], "ef_ev_per_atom": -0.525, "spacegroup": "No. 216"}



[4]
{"formula": "Pu2Si4Pd3Au", "functional": "GGA-PBE", "state": "optimized geometry", "cell": [[4.235, 0.000, 0.000], [0.000, 4.235, 0.000], [0.000, 0.000, 10.000]], "species": ["Pu", "Pu", "Si", "Si", "Si", "Si", "Pd", "Pd", "Pd", "Au"], "fractional_positions": [[0.000, 0.500, 0.244], [0.500, 0.000, 0.756], [0.000, 0.000, 0.000], [0.000, 0.500, 0.641], [0.500, 0.000, 0.359], [0.500, 0.500, 0.000], [0.000, 0.500, 0.880], [0.500, 0.000, 0.120], [0.500, 0.500, 0.500], [0.000, 0.000, 0.500]], "raw_formation_energy_kj_per_mol_atoms": -58.93, "spacegroup": "No. 115"}



[5]
{"formula": "PuSn2Pd7Au2", "functional": "GGA-PBE", "state": "optimized geometry", "cell": [[2.888, -2.945, 0.000], [2.888, 2.945, 0.000], [0.000, 0.000, 12.835]], "species": ["Pu", "Sn", "Sn", "Pd", "Pd", "Pd", "Pd", "Pd", "Pd", "Pd", "Au", "Au"], "fractional_positions": [[0.000, 0.000, 0.000], [0.000, 0.000, 0.325], [0.000, 0.000, 0.675], [0.000, 0.500, 0.161], [0.000, 0.500, 0.839], [0.253, 0.747, 0.500], [0.500, 0.000, 0.161], [0.500, 0.000, 0.839], [0.500, 0.500, 0.000], [0.747, 0.253, 0.500], [0.500, 0.500, 0.316], [0.500, 0.500, 0.684]], "ef_ev_per_atom": -0.349, "spacegroup": "No. 65"}



[6]
{"formula": "Pu4TlPdAu2", "functional": "GGA-PBE", "state": "optimized geometry", "cell": [[2.602, 1.502, 8.333], [-2.602, 1.502, 8.333], [0.000, -3.004, 8.333]], "species": ["Pu", "Pu", "Pu", "Pu", "Tl", "Pd", "Au", "Au"], "fractional_positions": [[0.114, 0.114, 0.114], [0.366, 0.366, 0.366], [0.634, 0.634, 0.634], [0.886, 0.886, 0.886], [0.500, 0.500, 0.500], [0.000, 0.000, 0.000], [0.241, 0.241, 0.241], [0.759, 0.759, 0.759]], "ef_ev_per_atom": -0.280, "spacegroup": "No. 166"}